[1]
Below is a geometry-optimized CeDyYLu structure, with properties calculated at the PBE level.

abc: 5.6263 5.6263 5.6263
angles: 60.00 60.00 60.00
Last column: nearest neighbours and their distance in Å.
Atoms (fractional coordinates):
Y: 0.2500 0.2500 0.2500  4 Dy 3.45, 4 Ce 3.45
Dy: 0.5000 0.5000 0.5000  4 Y 3.45, 4 Lu 3.45
Ce: 0.0000 0.0000 0.0000  4 Y 3.45, 4 Lu 3.45
Lu: 0.7500 0.7500 0.7500  4 Dy 3.45, 4 Ce 3.45

Computed properties:
DFT formation energy	0.15	eV per atom
SG	F-43m
polymorph energy (0 for the lowest one)	0.00	eV per formula unit
electronic total energy	-5.23	eV/atom

=====

[2]
Below is a geometry-optimized In3As5Au12 structure, with properties calculated at the PBE level.

abc: 13.4672 13.4672 13.4672
angles: 109.47 109.47 109.47
Last column: nearest neighbours and their distance in Å.
Atoms (fractional coordinates):
Au: 0.3317 0.5539 0.4188  2 As 2.53-2.61
As: 0.3750 0.2500 0.1250  4 Au 2.53
Au: 0.9461 0.5812 0.1683  2 As 2.53-2.61
Au: 0.8317 0.9129 0.2778  2 As 2.53-2.61
Au: 0.1683 0.0812 0.9461  2 As 2.53-2.61
Au: 0.3317 0.7778 0.4129  2 As 2.53-2.61
As: 0.2500 0.8750 0.1250  4 Au 2.53
Au: 0.8649 0.2778 0.4461  2 As 2.53-2.61
As: 0.7500 0.1250 0.8750  4 Au 2.53
Au: 0.9188 0.0871 0.8649  2 As 2.53-2.61
Au: 0.0871 0.9188 0.3649  2 As 2.53-2.61
Au: 0.2222 0.5539 0.6351  2 As 2.53-2.61
Au: 0.3649 0.9461 0.7778  2 As 2.53-2.61
In: 0.6250 0.2500 0.3750  8 Au 2.83-2.90
In: 0.3750 0.7500 0.6250  8 Au 2.83-2.90
Au: 0.0871 0.1683 0.2222  2 As 2.53-2.61
As: 0.0000 0.0000 0.0000  6 Au 2.61
Au: 0.4188 0.0539 0.3317  2 As 2.53-2.61
Au: 0.0812 0.1683 0.4461  2 As 2.53-2.61
Au: 0.9129 0.8317 0.7778  2 As 2.53-2.61
Au: 0.6351 0.0539 0.2222  2 As 2.53-2.61
Au: 0.5812 0.6351 0.4129  2 As 2.53-2.61
Au: 0.0539 0.6351 0.7222  2 As 2.53-2.61
Au: 0.9461 0.3649 0.2778  2 As 2.53-2.61
Au: 0.6683 0.4461 0.5812  2 As 2.53-2.61
As: 0.1250 0.3750 0.2500  4 Au 2.53
Au: 0.4461 0.7778 0.8649  2 As 2.53-2.61
In: 0.8750 0.7500 0.1250  8 Au 2.83-2.90
As: 0.5000 0.5000 0.5000  6 Au 2.61
Au: 0.2778 0.4129 0.8317  2 As 2.53-2.61
As: 0.0000 0.5000 0.5000  6 Au 2.61
As: 0.6250 0.7500 0.8750  4 Au 2.53
As: 0.5000 0.0000 0.0000  6 Au 2.61
Au: 0.8317 0.9188 0.0539  2 As 2.53-2.61
Au: 0.1351 0.4129 0.0812  2 As 2.53-2.61
Au: 0.6683 0.2222 0.5871  2 As 2.53-2.61
In: 0.2500 0.6250 0.8750  8 Au 2.83-2.90
Au: 0.5539 0.2222 0.1351  2 As 2.53-2.61
Au: 0.5539 0.3317 0.9188  2 As 2.53-2.61
As: 0.8750 0.2500 0.6250  4 Au 2.53
Au: 0.9188 0.8317 0.5539  2 As 2.53-2.61
As: 0.1250 0.7500 0.3750  4 Au 2.53
Au: 0.6351 0.5812 0.9129  2 As 2.53-2.61
As: 0.8750 0.6250 0.7500  4 Au 2.53
In: 0.3750 0.6250 0.2500  8 Au 2.83-2.90
As: 0.3750 0.1250 0.7500  4 Au 2.53
Au: 0.3649 0.4188 0.0871  2 As 2.53-2.61
Au: 0.0812 0.9129 0.1351  2 As 2.53-2.61
In: 0.1250 0.8750 0.7500  8 Au 2.83-2.90
Au: 0.4188 0.3649 0.5871  2 As 2.53-2.61
As: 0.5000 0.0000 0.5000  6 Au 2.61
Au: 0.4461 0.6683 0.0812  2 As 2.53-2.61
Au: 0.7222 0.1351 0.0539  2 As 2.53-2.61
Au: 0.5871 0.7222 0.6683  2 As 2.53-2.61
Au: 0.4129 0.1351 0.5812  2 As 2.53-2.61
Au: 0.2222 0.6683 0.0871  2 As 2.53-2.61
In: 0.7500 0.3750 0.1250  8 Au 2.83-2.90
Au: 0.7778 0.3317 0.9129  2 As 2.53-2.61
In: 0.1250 0.2500 0.8750  8 Au 2.83-2.90
Au: 0.1683 0.0871 0.7222  2 As 2.53-2.61
Au: 0.2778 0.8649 0.9461  2 As 2.53-2.61
In: 0.6250 0.3750 0.7500  8 Au 2.83-2.90
As: 0.0000 0.0000 0.5000  6 Au 2.61
Au: 0.0539 0.4188 0.8317  2 As 2.53-2.61
As: 0.7500 0.6250 0.3750  4 Au 2.53
As: 0.2500 0.3750 0.6250  4 Au 2.53
In: 0.2500 0.1250 0.3750  8 Au 2.83-2.90
Au: 0.7222 0.5871 0.1683  2 As 2.53-2.61
Au: 0.7778 0.4461 0.3649  2 As 2.53-2.61
Au: 0.5871 0.8649 0.4188  2 As 2.53-2.61
As: 0.0000 0.5000 0.0000  6 Au 2.61
Au: 0.8649 0.5871 0.9188  2 As 2.53-2.61
In: 0.8750 0.1250 0.2500  8 Au 2.83-2.90
Au: 0.1351 0.7222 0.5539  2 As 2.53-2.61
In: 0.7500 0.8750 0.6250  8 Au 2.83-2.90
Au: 0.5812 0.9461 0.6683  2 As 2.53-2.61
As: 0.6250 0.8750 0.2500  4 Au 2.53
Au: 0.4129 0.2778 0.3317  2 As 2.53-2.61
As: 0.5000 0.5000 0.0000  6 Au 2.61
Au: 0.9129 0.0812 0.6351  2 As 2.53-2.61

Computed properties:
DFT formation energy	0.09	eV per atom
SG	Ia-3d
electronic total energy	-3.45	eV/atom

=====

| no. | total magnetic moment (μB/cell) | N(E_F) (states/eV per cell) |
| --- | --- | --- |
| 1 | 0.78 | 8.9 |
| 2 | 0.00 | 42.6 |